A plane-wave DFT calculation with PBE was carried out for crystalline Zr3HgC at its relaxed geometry.

abc: 7.978 7.978 7.978
angles: 138.53 138.53 60.08
Positions (direct):
Zr 0.204 0.204 0.000
Zr 0.348 0.610 0.738
Zr 0.390 0.128 0.738
Zr 0.390 0.652 0.262
Zr 0.796 0.796 0.000
Zr 0.872 0.610 0.262
Hg 0.624 0.124 0.500
Hg 0.876 0.376 0.500
C 0.250 0.750 0.500
C 0.500 0.500 0.000

Computed properties:
- energy relative to the lowest polymorph listed for this composition (eV/f.u.) = 4.06